! TbPr2Sb3 | Alexandria via LeMat-Bulk | PBE | optimized geometry; values from VASP
! Formation energy from raw total energies (kcal/mol of atoms): -27.03
! Space-group type: C2/m (12)
&SYSTEM
  ibrav = 0, nat = 12, ntyp = 3
/
ATOMIC_SPECIES
Tb 158.93 Tb.upf
Pr 140.91 Pr.upf
Sb 121.76 Sb.upf
CELL_PARAMETERS angstrom
3.904 -6.762 0.000
3.904 6.762 0.000
-2.603 0.000 7.358
ATOMIC_POSITIONS angstrom
Tb 3.904 4.499 0.000
Tb 3.904 -4.499 0.000
Pr -1.301 0.000 3.679
Pr 2.603 2.227 3.679
Pr 3.904 0.000 0.000
Pr 2.603 -2.227 3.679
Sb -0.021 2.289 5.561
Sb 1.258 0.000 1.780
Sb -0.021 -2.289 5.561
Sb 5.227 2.289 1.797
Sb 3.948 0.000 5.578
Sb 5.227 -2.289 1.797


! Tb3PrSb | Alexandria via LeMat-Bulk | PBE | optimized geometry; values from VASP
! Formation energy from raw total energies (kcal/mol of atoms): -9.13
! Space-group type: Pnma (62)
&SYSTEM
  ibrav = 0, nat = 20, ntyp = 3
/
ATOMIC_SPECIES
Tb 158.93 Tb.upf
Pr 140.91 Pr.upf
Sb 121.76 Sb.upf
CELL_PARAMETERS angstrom
10.882 0.000 0.000
0.000 4.032 0.000
0.000 0.000 14.579
ATOMIC_POSITIONS angstrom
Tb 0.858 1.008 1.143
Tb 1.149 3.024 4.028
Tb 1.598 3.024 10.083
Tb 3.843 1.008 2.794
Tb 4.293 1.008 11.317
Tb 4.583 3.024 8.432
Tb 6.299 1.008 6.146
Tb 6.590 3.024 3.262
Tb 7.039 3.024 11.784
Tb 9.284 1.008 4.495
Tb 9.734 1.008 10.551
Tb 10.024 3.024 13.436
Pr 1.884 1.008 6.946
Pr 3.557 3.024 14.236
Pr 7.325 1.008 0.343
Pr 8.998 3.024 7.632
Sb 1.432 1.008 12.583
Sb 4.009 3.024 5.294
Sb 6.873 1.008 9.285
Sb 9.450 3.024 1.996


! TbPrSb | Alexandria via LeMat-Bulk | PBE | optimized geometry; values from VASP
! Formation energy from raw total energies (kcal/mol of atoms): -12.44
! Space-group type: Pmmm (47)
&SYSTEM
  ibrav = 0, nat = 3, ntyp = 3
/
ATOMIC_SPECIES
Tb 158.93 Tb.upf
Pr 140.91 Pr.upf
Sb 121.76 Sb.upf
CELL_PARAMETERS angstrom
4.182 0.000 0.000
0.000 4.784 0.000
0.000 0.000 5.098
ATOMIC_POSITIONS angstrom
Tb 0.000 0.000 0.000
Pr 0.000 2.392 2.549
Sb 2.091 2.392 0.000


! Tb2Pr5Sb5 | Alexandria via LeMat-Bulk | PBE | optimized geometry; values from VASP
! Formation energy from raw total energies (kcal/mol of atoms): -21.23
! Space-group type: C2/m (12)
&SYSTEM
  ibrav = 0, nat = 12, ntyp = 3
/
ATOMIC_SPECIES
Tb 158.93 Tb.upf
Pr 140.91 Pr.upf
Sb 121.76 Sb.upf
CELL_PARAMETERS angstrom
7.373 -2.240 0.000
7.373 2.240 0.000
-4.428 0.000 12.172
ATOMIC_POSITIONS angstrom
Tb -0.635 0.000 3.517
Tb 10.953 0.000 8.655
Pr 3.323 0.000 1.867
Pr 2.966 0.000 5.593
Pr 7.373 0.000 0.000
Pr 7.351 0.000 6.579
Pr 6.994 0.000 10.305
Sb -2.214 0.000 6.086
Sb -2.370 0.000 11.253
Sb 1.481 0.000 8.656
Sb 8.837 0.000 3.516
Sb 12.688 0.000 0.919


! Tb3PrSb2 | Alexandria via LeMat-Bulk | PBE | optimized geometry; values from VASP
! Formation energy from raw total energies (kcal/mol of atoms): -16.36
! Space-group type: C2/m (12)
&SYSTEM
  ibrav = 0, nat = 12, ntyp = 3
/
ATOMIC_SPECIES
Tb 158.93 Tb.upf
Pr 140.91 Pr.upf
Sb 121.76 Sb.upf
CELL_PARAMETERS angstrom
9.254 -2.198 0.000
9.254 2.198 0.000
-3.995 0.000 8.919
ATOMIC_POSITIONS angstrom
Tb 0.357 0.000 1.573
Tb 3.329 0.000 5.441
Tb 6.481 0.000 0.218
Tb 8.031 0.000 8.701
Tb 11.182 0.000 3.478
Tb 14.155 0.000 7.346
Pr -0.424 0.000 5.548
Pr 14.936 0.000 3.371
Sb 3.680 0.000 1.912
Sb 6.429 0.000 5.849
Sb 8.082 0.000 3.070
Sb 10.832 0.000 7.007


! TbPr3Sb2 | Alexandria via LeMat-Bulk | PBE | optimized geometry; values from VASP
! Formation energy from raw total energies (kcal/mol of atoms): -19.09
! Energy above the most stable polymorph in this dataset (meV/atom): 0
! Space-group type: P-4m2 (115)
&SYSTEM
  ibrav = 0, nat = 6, ntyp = 3
/
ATOMIC_SPECIES
Tb 158.93 Tb.upf
Pr 140.91 Pr.upf
Sb 121.76 Sb.upf
CELL_PARAMETERS angstrom
4.606 0.000 0.000
0.000 4.606 0.000
0.000 0.000 8.870
ATOMIC_POSITIONS angstrom
Tb 0.000 0.000 0.000
Pr 0.000 2.303 3.147
Pr 2.303 0.000 5.723
Pr 2.303 2.303 0.000
Sb 0.000 2.303 6.426
Sb 2.303 0.000 2.443


! TbPr3Sb3 | Alexandria via LeMat-Bulk | PBE | optimized geometry; values from VASP
! Formation energy from raw total energies (kcal/mol of atoms): -21.86
! Energy above the most stable polymorph in this dataset (meV/atom): 98
! Space-group type: R-3 (148)
&SYSTEM
  ibrav = 0, nat = 14, ntyp = 3
/
ATOMIC_SPECIES
Tb 158.93 Tb.upf
Pr 140.91 Pr.upf
Sb 121.76 Sb.upf
CELL_PARAMETERS angstrom
4.630 2.673 6.354
-4.630 2.673 6.354
0.000 -5.346 6.354
ATOMIC_POSITIONS angstrom
Tb 0.000 0.000 3.190
Tb 0.000 0.000 15.874
Pr -1.183 -2.142 7.861
Pr -2.446 -0.047 11.202
Pr -1.264 2.095 7.861
Pr 1.264 -2.095 11.202
Pr 2.446 0.047 7.861
Pr 1.183 2.142 11.202
Sb -3.584 -0.044 8.049
Sb -1.754 -3.126 11.015
Sb 1.831 -3.082 8.049
Sb -1.831 3.082 11.015
Sb 1.754 3.126 8.049
Sb 3.584 0.044 11.015


! Tb3PrSb4 | Alexandria via LeMat-Bulk | PBE | optimized geometry; values from VASP
! Formation energy from raw total energies (kcal/mol of atoms): -26.59
! Space-group type: Pm-3m (221)
&SYSTEM
  ibrav = 0, nat = 8, ntyp = 3
/
ATOMIC_SPECIES
Tb 158.93 Tb.upf
Pr 140.91 Pr.upf
Sb 121.76 Sb.upf
CELL_PARAMETERS angstrom
6.280 0.000 0.000
0.000 6.280 0.000
0.000 0.000 6.280
ATOMIC_POSITIONS angstrom
Tb 0.000 0.000 3.140
Tb 0.000 3.140 0.000
Tb 3.140 0.000 0.000
Pr 3.140 3.140 3.140
Sb 0.000 0.000 0.000
Sb 0.000 3.140 3.140
Sb 3.140 0.000 3.140
Sb 3.140 3.140 0.000


Which value of formation energy from raw total energies does entry 1 give? -27.03 kcal/mol of atoms